[1]
First-principles (meta-GGA SCAN) data for a PBEsol-optimized structure of Ni2IrRu, as listed in the Alexandria database.

a = 2.6388 Å, b = 2.6388 Å, c = 6.9748 Å
α = 90.00°, β = 90.00°, γ = 90.00°
Positions (direct):
Ir (0.5000, 0.5000, 0.7563)
Ni (0.0000, 0.0000, 0.0116)
Ru (0.0000, 0.0000, 0.4902)
Ni (0.5000, 0.5000, 0.2419)

Summary:
formation enthalpy at 0 K	0.066	eV per atom
offset from the most stable computed form	0.072	eV per atom
Fermi-level density of states	1.1032	states/eV/atom

[2]
First-principles (meta-GGA SCAN) data for a PBEsol-optimized structure of NiIrRu, as listed in the Alexandria database.

a = 2.6684 Å, b = 3.6531 Å, c = 4.4992 Å
α = 113.95°, β = 107.25°, γ = 90.00°
Positions (direct):
Ru (0.3321, 0.3321, 0.6642)
Ni (0.6675, 0.6675, 0.3350)
Ir (0.0004, 0.0004, 0.0008)

Summary:
formation enthalpy at 0 K	-0.034	eV per atom
offset from the most stable computed form	0.000	eV per atom
Fermi-level density of states	0.8269	states/eV/atom

[3]
First-principles (meta-GGA SCAN) data for a PBEsol-optimized structure of Ni2IrRu, as listed in the Alexandria database.

a = 3.5690 Å, b = 3.6823 Å, c = 3.6823 Å
α = 90.00°, β = 90.00°, γ = 90.00°
Positions (direct):
Ru (0.5000, 0.5000, 0.5000)
Ni (0.0000, 0.5000, 0.0000)
Ni (0.0000, 0.0000, 0.5000)
Ir (0.5000, 0.0000, 0.0000)

Summary:
formation enthalpy at 0 K	0.102	eV per atom
offset from the most stable computed form	0.108	eV per atom
Fermi-level density of states	0.9943	states/eV/atom

[4]
First-principles (meta-GGA SCAN) data for a PBEsol-optimized structure of NiIrRu3, as listed in the Alexandria database.

a = 4.2560 Å, b = 4.2560 Å, c = 4.2560 Å
α = 90.00°, β = 90.00°, γ = 90.00°
Positions (direct):
Ru (0.0000, 0.5000, 0.0000)
Ru (0.0000, 0.0000, 0.5000)
Ir (0.5000, 0.5000, 0.5000)
Ni (0.0000, 0.0000, 0.0000)
Ru (0.5000, 0.0000, 0.0000)

Summary:
formation enthalpy at 0 K	1.698	eV per atom
Fermi-level density of states	1.0822	states/eV/atom

[5]
First-principles (meta-GGA SCAN) data for a PBEsol-optimized structure of Ni2IrRu, as listed in the Alexandria database.

a = 3.5979 Å, b = 3.5979 Å, c = 4.5091 Å
α = 113.51°, β = 113.51°, γ = 90.00°
Positions (direct):
Ni (0.2500, 0.7500, 0.5000)
Ir (0.7500, 0.2500, 0.5000)
Ru (0.0000, 0.0000, 0.0000)
Ni (0.5000, 0.5000, 0.0000)

Summary:
formation enthalpy at 0 K	-0.006	eV per atom
offset from the most stable computed form	0.000	eV per atom
Fermi-level density of states	0.8633	states/eV/atom

[6]
First-principles (meta-GGA SCAN) data for a PBEsol-optimized structure of NiSn2IrRu, as listed in the Alexandria database.

a = 4.5165 Å, b = 4.9438 Å, c = 4.9438 Å
α = 90.00°, β = 90.00°, γ = 90.00°
Positions (direct):
Sn (0.0000, 0.5000, 0.0000)
Ni (0.5000, 0.0000, 0.0000)
Sn (0.0000, 0.0000, 0.5000)
Ru (0.5000, 0.5000, 0.5000)
Ir (0.0000, 0.0000, 0.0000)

Summary:
formation enthalpy at 0 K	1.046	eV per atom
Fermi-level density of states	0.6339	states/eV/atom

[7]
First-principles (meta-GGA SCAN) data for a PBEsol-optimized structure of YNiIr2Ru, as listed in the Alexandria database.

a = 4.3805 Å, b = 4.5041 Å, c = 4.5041 Å
α = 90.00°, β = 90.00°, γ = 90.00°
Positions (direct):
Y (0.5000, 0.5000, 0.5000)
Ir (0.0000, 0.5000, 0.0000)
Ru (0.5000, 0.0000, 0.0000)
Ni (0.0000, 0.0000, 0.0000)
Ir (0.0000, 0.0000, 0.5000)

Summary:
formation enthalpy at 0 K	0.522	eV per atom
Fermi-level density of states	0.8459	states/eV/atom

[8]
First-principles (meta-GGA SCAN) data for a PBEsol-optimized structure of Ni2SbIr, as listed in the Alexandria database.

a = 2.8597 Å, b = 3.6299 Å, c = 5.3487 Å
α = 90.00°, β = 89.93°, γ = 90.00°
Positions (direct):
Ni (0.0007, 0.0000, 0.2659)
Sb (0.5000, 0.5000, 0.0000)
Ni (0.9993, 0.0000, 0.7341)
Ir (0.5000, 0.5000, 0.5000)

Summary:
ΔE_f (raw)	0.1913	eV per atom
Fermi-level density of states	1.2306	states/eV/atom